# 1
DyEr2Tm9 GGA-PBE optimized geometry; energy of formation = 0.133 eV per atom; excess energy over the best structure of this formula in the dataset = 77 meV per atom
1.0
5.807 0.000 0.000
0.000 5.807 0.000
0.000 0.000 10.843
Dy Er Tm
1 2 9
direct
0.000 0.000 0.000
0.000 0.000 0.333
0.000 0.000 0.667
0.000 0.500 0.167
0.000 0.500 0.500
0.000 0.500 0.833
0.500 0.000 0.167
0.500 0.000 0.500
0.500 0.000 0.833
0.500 0.500 0.000
0.500 0.500 0.333
0.500 0.500 0.667


# 2
K2TaAs2S6 GGA-PBE optimized geometry; formation energy without anion corrections = -0.64 eV/atom
1.0
5.142 -3.490 0.000
5.142 3.490 0.000
-2.251 0.000 7.661
K Ta As S
2 1 2 6
direct
0.189 0.189 0.103
0.811 0.811 0.897
0.000 0.000 0.500
0.401 0.401 0.759
0.599 0.599 0.241
0.200 0.718 0.260
0.239 0.239 0.505
0.282 0.800 0.740
0.718 0.200 0.260
0.761 0.761 0.495
0.800 0.282 0.740


# 3
CaAu2Br GGA-PBE optimized geometry; formation energy without anion corrections = -0.32 eV/atom; excess energy over the best structure of this formula in the dataset = 564 meV per atom
1.0
2.343 1.353 5.514
-2.343 1.353 5.514
0.000 -2.705 5.514
Ca Au Br
1 2 1
direct
0.000 0.000 0.000
0.261 0.261 0.261
0.739 0.739 0.739
0.500 0.500 0.500


# 4
PuIr2Rh GGA-PBE optimized geometry; energy of formation = -0.367 eV per atom; excess energy over the best structure of this formula in the dataset = 0 meV per atom
1.0
4.046 0.000 0.000
0.000 4.046 0.000
0.000 0.000 4.050
Pu Ir Rh
1 2 1
direct
0.000 0.000 0.000
0.000 0.500 0.500
0.500 0.000 0.500
0.500 0.500 0.000


# 5
AcPa2As GGA-PBE optimized geometry; energy of formation = 0.093 eV per atom
1.0
1.777 1.026 10.879
-1.777 1.026 10.879
0.000 -2.052 10.879
Ac Pa As
1 2 1
direct
0.000 0.000 0.000
0.106 0.106 0.106
0.894 0.894 0.894
0.500 0.500 0.500


# 6
LiTaRu2 GGA-PBE optimized geometry; energy of formation = 0.230 eV per atom; excess energy over the best structure of this formula in the dataset = 431 meV per atom
1.0
1.386 0.800 9.352
-1.386 0.800 9.352
0.000 -1.601 9.352
Li Ta Ru
1 1 2
direct
0.000 0.000 0.000
0.240 0.240 0.240
0.489 0.489 0.489
0.749 0.749 0.749